Density functional theory data (PBE) for a geometry-optimized Pu6ThSe8 structure.

Properties
The calculation puts the uncorrected formation energy at -2232 kJ/mol of formula units.

Cell lengths 11.7554, 11.7554, 11.7554 Å; angles 90.00, 90.00, 90.00 degrees
Space group Fm-3m (No. 225)
Inequivalent atoms, fractional coordinates:
Pu 0.0000 0.2500 0.2500
Th 0.0000 0.0000 0.0000
Se 0.0000 0.0000 0.2532
Se 0.2500 0.2500 0.2500